An optimized crystal structure of Ce4CoPt. Source: Alexandria via LeMat-Bulk, functional PBE-GGA.

Unit cell a=7.5004 b=7.5004 c=5.7400 alpha=105.26 beta=105.26 gamma=109.92
Closest atoms and distances in Å follow each position.
Sites, in units of the cell vectors:
1 Ce 0.0487 0.6964 0.8982  2 Co 2.76-2.79, 2 Pt 2.99-3.06, 2 Ce 3.05-3.08
2 Ce 0.2201 0.4084 0.6721  3 Ce 2.90-3.08, 2 Co 2.93-3.14, 2 Pt 2.97-3.03
3 Ce 0.3036 0.9513 0.6018  2 Co 2.76-2.79, 2 Pt 2.99-3.06, 2 Ce 3.05-3.08
4 Ce 0.4084 0.2201 0.1721  3 Ce 2.90-3.08, 2 Co 2.93-3.14, 2 Pt 2.97-3.03
5 Ce 0.5916 0.7799 0.8279  3 Ce 2.90-3.08, 2 Co 2.93-3.14, 2 Pt 2.97-3.03
6 Ce 0.6964 0.0487 0.3982  2 Co 2.76-2.79, 2 Pt 2.99-3.06, 2 Ce 3.05-3.08
7 Ce 0.7799 0.5916 0.3279  3 Ce 2.90-3.08, 2 Co 2.93-3.14, 2 Pt 2.97-3.03
8 Ce 0.9513 0.3036 0.1018  2 Co 2.76-2.79, 2 Pt 2.99-3.06, 2 Ce 3.05-3.08
9 Co 0.0032 0.9968 0.2500  6 Ce 2.76-2.93, 2 Co 2.87
10 Co 0.9968 0.0032 0.7500  6 Ce 2.76-2.93, 2 Co 2.87
11 Pt 0.3777 0.6223 0.2500  8 Ce 2.97-3.06
12 Pt 0.6223 0.3777 0.7500  8 Ce 2.97-3.06

## Properties
ΔE_f ... -0.40 eV/atom
Uncorrected energy ... -78.57 eV for the cell shown
Space group ... C2/c
Polymorph energy (0 for the lowest one) ... 0.0000 eV/atom

***

An optimized crystal structure of Ce8CoPt5. Source: Alexandria via LeMat-Bulk, functional PBE-GGA.

Unit cell a=7.6039 b=7.6039 c=7.6039 alpha=110.01 beta=110.01 gamma=108.39
Closest atoms and distances in Å follow each position.
Sites, in units of the cell vectors:
1 Ce 0.0025 0.1282 0.7541  4 Pt 2.84-3.18
2 Ce 0.2629 0.4967 0.6433  1 Co 2.68, 2 Pt 2.85-2.89
3 Ce 0.3742 0.2484 0.2459  4 Pt 2.84-3.18
4 Ce 0.3804 0.7371 0.2338  1 Co 2.68, 2 Pt 2.85-2.89
5 Ce 0.5033 0.1466 0.7662  1 Co 2.68, 2 Pt 2.85-2.89
6 Ce 0.7516 0.9975 0.1257  4 Pt 2.84-3.18
7 Ce 0.8534 0.6196 0.3567  1 Co 2.68, 2 Pt 2.85-2.89
8 Ce 0.8718 0.6258 0.8743  4 Pt 2.84-3.18
9 Co 0.5000 0.5000 0.0000  4 Ce 2.68
10 Pt 0.0072 0.3774 0.1367  5 Ce 2.85-3.18
11 Pt 0.1295 0.9928 0.3703  5 Ce 2.85-3.18
12 Pt 0.2407 0.8705 0.8633  5 Ce 2.85-3.18
13 Pt 0.6226 0.7593 0.6297  5 Ce 2.85-3.18
14 Pt 0.7500 0.2500 0.5000  4 Ce 2.84

## Properties
ΔE_f ... -0.79 eV/atom
Uncorrected energy ... -95.86 eV for the cell shown
Space group ... I-4